1.
5
Lattice="4.871 0.000 0.000 0.000 4.871 0.000 0.000 0.000 6.179" Properties=species:S:1:pos:R:3 comment="LaTeOsBr2, optimized geometry, DFT PBE" space_group=P4/mmm raw_formation_energy_ev_per_atom=-0.155 pbc="T T T"
La 0.000 0.000 0.000
Te 2.435 2.435 0.000
Os 0.000 0.000 3.089
Br 0.000 2.435 3.089
Br 2.435 0.000 3.089

2.
8
Lattice="4.729 0.000 0.000 0.000 5.239 0.000 0.000 0.000 12.117" Properties=species:S:1:pos:R:3 comment="Ba4LiZn3, optimized geometry, DFT PBE" space_group=Pmm2 ef_ev_per_atom=-0.108 pbc="T T T"
Ba 0.000 0.000 0.000
Ba 0.000 2.619 5.839
Ba 2.364 0.000 8.457
Ba 2.364 2.619 2.436
Li 0.000 2.619 9.664
Zn 0.000 0.000 3.584
Zn 2.364 0.000 4.771
Zn 2.364 2.619 10.982

3.
6
Lattice="0.000 3.699 3.699 3.699 0.000 3.699 3.699 3.699 0.000" Properties=species:S:1:pos:R:3 comment="MnHgIr4, optimized geometry, DFT PBE" space_group=F-43m ef_ev_per_atom=0.408 pbc="T T T"
Mn 0.000 0.000 0.000
Hg 5.549 5.549 5.549
Ir 2.773 2.773 2.773
Ir 4.626 4.626 2.773
Ir 4.626 2.773 4.626
Ir 2.773 4.626 4.626

4.
6
Lattice="3.674 -2.088 0.000 3.674 2.088 0.000 -1.240 0.000 11.214" Properties=species:S:1:pos:R:3 comment="CaPBr, optimized geometry, DFT PBE" space_group=C2/m raw_formation_energy_ev_per_atom=-1.284 polymorph_energy_mev_per_atom=0 pbc="T T T"
Ca 0.196 0.000 2.066
Ca 5.912 0.000 9.148
P 2.610 0.000 0.217
P 3.498 0.000 10.997
Br 1.001 0.000 7.541
Br 5.108 0.000 3.673

5.
19
Lattice="5.019 2.898 4.864 -5.019 2.898 4.864 0.000 -5.796 4.864" Properties=species:S:1:pos:R:3 comment="Ba2Cd5Ag12, optimized geometry, DFT PBE" space_group=R-3m ef_ev_per_atom=-0.125 pbc="T T T"
Ba 0.000 0.000 2.187
Ba 0.000 0.000 12.404
Cd -2.510 -1.449 4.864
Cd 0.000 0.000 5.837
Cd -2.510 1.449 9.727
Cd 0.000 2.898 4.864
Cd 0.000 0.000 8.754
Ag 0.000 -2.888 4.687
Ag -2.501 1.444 4.687
Ag -1.507 -2.611 7.296
Ag -3.015 0.000 7.296
Ag -2.501 -1.444 9.904
Ag 1.507 -2.611 7.296
Ag -1.507 2.611 7.296
Ag 2.501 1.444 4.687
Ag 3.015 0.000 7.296
Ag 1.507 2.611 7.296
Ag 2.501 -1.444 9.904
Ag 0.000 2.888 9.904

6.
8
Lattice="-4.410 4.410 4.285 4.410 -4.410 4.285 4.410 4.410 -4.285" Properties=species:S:1:pos:R:3 comment="Ba2HgP, optimized geometry, DFT PBE" space_group=I-42d polymorph_energy_mev_per_atom=227 ef_ev_per_atom=-0.536 pbc="T T T"
Ba 6.615 1.820 -1.071
Ba 1.820 2.205 1.071
Ba -2.205 2.590 3.214
Ba 2.590 2.205 5.356
Hg 4.410 0.000 2.142
Hg 0.000 0.000 4.285
P 0.000 0.000 0.000
P 0.000 4.410 2.142

7.
4
Lattice="1.872 1.081 7.383 -1.872 1.081 7.383 0.000 -2.162 7.383" Properties=species:S:1:pos:R:3 comment="DyErCI, optimized geometry, DFT PBE" space_group=R3m raw_formation_energy_ev_per_atom=-0.743 pbc="T T T"
Dy 0.000 0.000 0.000
Er 0.000 0.000 17.273
C 0.000 0.000 8.709
I 0.000 0.000 4.924

8.
4
Lattice="5.095 0.000 0.000 0.000 5.095 0.000 0.000 0.000 3.851" Properties=species:S:1:pos:R:3 comment="BaSc2Cu, optimized geometry, DFT PBE" space_group=P4/mmm polymorph_energy_mev_per_atom=419 ef_ev_per_atom=0.516 pbc="T T T"
Ba 0.000 0.000 0.000
Sc 0.000 2.548 1.925
Sc 2.548 0.000 1.925
Cu 2.548 2.548 0.000